[1]
VASP calculation (PBE) on a geometry-optimized KSi2Ir structure.

abc: 5.4797 5.4797 2.6445
angles: 90.00 90.00 116.59
Fractional positions:
K  0.0000  0.0000  0.0000
Si  0.0000  0.5000  0.5000
Si  0.5000  0.0000  0.5000
Ir  0.5000  0.5000  0.0000

## Properties
Theoretical density in g/cm³: 6.72
E_form (uncorrected) in eV/atom: 0.778
Spin magnetization in μB per atom: 0.00
Excess energy over the best structure of this formula in the dataset in eV/atom: 1.061

---

[2]
VASP calculation (PBE) on a geometry-optimized KSi2Ir structure.

abc: 6.6241 6.6241 6.6241
angles: 36.02 36.02 36.02
Fractional positions:
K  0.0000  0.0000  0.0000
Si  0.1993  0.1993  0.1993
Si  0.8007  0.8007  0.8007
Ir  0.5000  0.5000  0.5000

## Properties
Theoretical density in g/cm³: 5.31
E_form (uncorrected) in eV/atom: -0.283
Spin magnetization in μB per atom: 0.14
Excess energy over the best structure of this formula in the dataset in eV/atom: 0.000

---

[3]
VASP calculation (PBE) on a geometry-optimized KSi3Ir structure.

abc: 4.8688 4.8688 4.8688
angles: 90.00 90.00 90.00
Fractional positions:
K  0.0000  0.0000  0.0000
Si  0.0000  0.0000  0.5000
Si  0.0000  0.5000  0.0000
Si  0.5000  0.0000  0.0000
Ir  0.5000  0.5000  0.5000

## Properties
Theoretical density in g/cm³: 4.54
E_form (uncorrected) in eV/atom: 2.722
Spin magnetization in μB per atom: 0.00
Excess energy over the best structure of this formula in the dataset in eV/atom: 2.277

---

[4]
VASP calculation (PBE) on a geometry-optimized KZrSiIr2 structure.

abc: 4.4959 4.4959 5.1198
angles: 90.00 90.00 90.00
Fractional positions:
K  0.0000  0.0000  0.0000
Zr  0.5000  0.5000  0.0000
Si  0.0000  0.0000  0.5000
Ir  0.0000  0.5000  0.5000
Ir  0.5000  0.0000  0.5000

## Properties
Theoretical density in g/cm³: 8.71
E_form (uncorrected) in eV/atom: 0.726
Spin magnetization in μB per atom: 0.00

---

[5]
VASP calculation (PBE) on a geometry-optimized K2SnIr structure.

abc: 5.4435 5.4435 5.4435
angles: 60.00 60.00 60.00
Fractional positions:
K  0.2500  0.2500  0.2500
K  0.7500  0.7500  0.7500
Sn  0.0000  0.0000  0.0000
Ir  0.5000  0.5000  0.5000

## Properties
Theoretical density in g/cm³: 5.67
Energy of formation from the pure elements in eV/f.u.: 3.52
Spin magnetization in μB per atom: 0.00
Excess energy over the best structure of this formula in the dataset in eV/atom: 0.265

---

[6]
VASP calculation (PBE) on a geometry-optimized KSnIr structure.

abc: 4.4760 4.4760 8.2886
angles: 90.00 90.00 90.00
Fractional positions:
K  0.2500  0.2500  0.1638
K  0.7500  0.7500  0.8362
Sn  0.2500  0.2500  0.6735
Sn  0.7500  0.7500  0.3265
Ir  0.2500  0.7500  0.5000
Ir  0.7500  0.2500  0.5000

## Properties
Theoretical density in g/cm³: 7.00
Energy of formation from the pure elements in eV/f.u.: -0.50
Spin magnetization in μB per atom: 0.00

---

[7]
VASP calculation (PBE) on a geometry-optimized KSn2Ir structure.

abc: 4.9529 4.9529 4.9529
angles: 60.00 60.00 60.00
Fractional positions:
K  0.0000  0.0000  0.0000
Sn  0.2500  0.2500  0.2500
Sn  0.7500  0.7500  0.7500
Ir  0.5000  0.5000  0.5000

## Properties
Theoretical density in g/cm³: 9.06
Energy of formation from the pure elements in eV/f.u.: 0.72
Spin magnetization in μB per atom: 0.00

---

[8]
VASP calculation (PBE) on a geometry-optimized K2SnIr structure.

abc: 12.2648 12.2648 12.2648
angles: 160.41 160.41 27.85
Fractional positions:
K  0.1147  0.6250  0.9897
K  0.3750  0.3647  0.4897
K  0.6353  0.1250  0.0103
K  0.8750  0.8853  0.5103
Sn  0.2500  0.7500  0.5000
Sn  0.5000  0.5000  0.0000
Ir  0.0000  0.0000  0.0000
Ir  0.7500  0.2500  0.5000

## Properties
Theoretical density in g/cm³: 6.23
Energy of formation from the pure elements in eV/f.u.: 2.46
Spin magnetization in μB per atom: 0.00
Excess energy over the best structure of this formula in the dataset in eV/atom: 0.000

---

[9]
VASP calculation (PBE) on a geometry-optimized KSn2Ir2 structure.

abc: 8.1983 8.1983 2.9937
angles: 90.00 90.00 90.00
Fractional positions:
K  0.0000  0.0000  0.0000
K  0.5000  0.5000  0.0000
Sn  0.1526  0.3474  0.5000
Sn  0.3474  0.8474  0.5000
Sn  0.6526  0.1526  0.5000
Sn  0.8474  0.6526  0.5000
Ir  0.1384  0.6384  0.0000
Ir  0.3616  0.1384  0.0000
Ir  0.6384  0.8616  0.0000
Ir  0.8616  0.3616  0.0000

## Properties
Theoretical density in g/cm³: 10.91
Energy of formation from the pure elements in eV/f.u.: -0.16
Spin magnetization in μB per atom: 0.00
Excess energy over the best structure of this formula in the dataset in eV/atom: 0.080

---

[10]
VASP calculation (PBE) on a geometry-optimized KSn2Ir structure.

abc: 7.2718 7.2718 7.2718
angles: 35.49 35.49 35.49
Fractional positions:
K  0.0000  0.0000  0.0000
Sn  0.2124  0.2124  0.2124
Sn  0.7876  0.7876  0.7876
Ir  0.5000  0.5000  0.5000

## Properties
Theoretical density in g/cm³: 6.72
Energy of formation from the pure elements in eV/f.u.: -0.65
Spin magnetization in μB per atom: 0.00

---

[11]
VASP calculation (PBE) on a geometry-optimized KSn2Ir2 structure.

abc: 6.6378 6.6880 6.9014
angles: 115.29 111.83 96.29
Fractional positions:
K  0.0511  0.2157  0.3104
K  0.9489  0.7843  0.6896
Sn  0.1690  0.7396  0.2848
Sn  0.4907  0.7385  0.8214
Sn  0.5093  0.2615  0.1786
Sn  0.8310  0.2604  0.7152
Ir  0.2794  0.4564  0.9495
Ir  0.4637  0.0809  0.7320
Ir  0.5363  0.9191  0.2680
Ir  0.7206  0.5436  0.0505

## Properties
Theoretical density in g/cm³: 9.01
Energy of formation from the pure elements in eV/f.u.: -0.14
Spin magnetization in μB per atom: 0.00
Excess energy over the best structure of this formula in the dataset in eV/atom: 0.084

---

[12]
VASP calculation (PBE) on a geometry-optimized KSn2Ir2 structure.

abc: 6.8306 6.8306 6.8306
angles: 142.32 142.32 54.34
Fractional positions:
K  0.0000  0.0000  0.0000
Sn  0.3682  0.3682  0.0000
Sn  0.6318  0.6318  0.0000
Ir  0.2500  0.7500  0.5000
Ir  0.7500  0.2500  0.5000

## Properties
Theoretical density in g/cm³: 9.28
Energy of formation from the pure elements in eV/f.u.: -0.56
Spin magnetization in μB per atom: 0.00
Excess energy over the best structure of this formula in the dataset in eV/atom: 0.000

---

[13]
VASP calculation (PBE) on a geometry-optimized KSn2Ir structure.

abc: 7.2183 7.2183 7.2183
angles: 35.94 35.94 35.94
Fractional positions:
K  0.0000  0.0000  0.0000
Sn  0.5498  0.5498  0.5498
Sn  0.7919  0.7919  0.7919
Ir  0.1735  0.1735  0.1735

## Properties
Theoretical density in g/cm³: 6.72
Energy of formation from the pure elements in eV/f.u.: -0.72
Spin magnetization in μB per atom: 0.00

---

[14]
VASP calculation (PBE) on a geometry-optimized KSn2Ir structure.

abc: 8.8402 8.8402 8.8402
angles: 136.11 136.11 63.81
Fractional positions:
K  0.0000  0.0000  0.0000
K  0.7500  0.2500  0.5000
Sn  0.3729  0.1250  0.7479
Sn  0.3750  0.6271  0.7521
Sn  0.3771  0.6250  0.2521
Sn  0.8750  0.6229  0.2479
Ir  0.2500  0.7500  0.5000
Ir  0.5000  0.5000  0.0000

## Properties
Theoretical density in g/cm³: 4.75
Energy of formation from the pure elements in eV/f.u.: 0.10
Spin magnetization in μB per atom: 0.00

---

[15]
VASP calculation (PBE) on a geometry-optimized KSn12Ir4 structure.

abc: 8.2714 8.2714 8.2714
angles: 109.47 109.47 109.47
Fractional positions:
K  0.0000  0.0000  0.0000
Sn  0.1641  0.5039  0.3398
Sn  0.1641  0.8243  0.6602
Sn  0.1757  0.3398  0.8359
Sn  0.3398  0.1641  0.5039
Sn  0.3398  0.8359  0.1757
Sn  0.4961  0.6602  0.8359
Sn  0.5039  0.3398  0.1641
Sn  0.6602  0.1641  0.8243
Sn  0.6602  0.8359  0.4961
Sn  0.8243  0.6602  0.1641
Sn  0.8359  0.1757  0.3398
Sn  0.8359  0.4961  0.6602
Ir  0.0000  0.0000  0.5000
Ir  0.0000  0.5000  0.0000
Ir  0.5000  0.0000  0.0000
Ir  0.5000  0.5000  0.5000

## Properties
Theoretical density in g/cm³: 8.51
Energy of formation from the pure elements in eV/f.u.: -2.20
Spin magnetization in μB per atom: 0.00

---

[16]
VASP calculation (PBE) on a geometry-optimized KSn2Ir2 structure.

abc: 6.2269 6.2269 6.2269
angles: 135.88 135.88 64.17
Fractional positions:
K  0.0000  0.0000  0.0000
Sn  0.2500  0.7500  0.5000
Sn  0.7500  0.2500  0.5000
Ir  0.3830  0.3830  0.0000
Ir  0.6170  0.6170  0.0000

## Properties
Theoretical density in g/cm³: 9.51
Energy of formation from the pure elements in eV/f.u.: -0.35
Spin magnetization in μB per atom: 0.00
Excess energy over the best structure of this formula in the dataset in eV/atom: 0.042

---

[17]
VASP calculation (PBE) on a geometry-optimized KSr2SnIr structure.

abc: 5.9749 5.9749 5.2038
angles: 90.00 90.00 90.00
Fractional positions:
K  0.0000  0.0000  0.0000
Sr  0.0000  0.5000  0.5000
Sr  0.5000  0.0000  0.5000
Sn  0.5000  0.5000  0.0000
Ir  0.5000  0.5000  0.5000

## Properties
Theoretical density in g/cm³: 4.70
Energy of formation from the pure elements in eV/f.u.: -1.15
Spin magnetization in μB per atom: 0.01

---

[18]
VASP calculation (PBE) on a geometry-optimized KZn2SnIr structure.

abc: 5.0253 5.0253 5.0267
angles: 90.00 90.00 90.00
Fractional positions:
K  0.0000  0.0000  0.0000
Zn  0.0000  0.5000  0.5000
Zn  0.5000  0.0000  0.5000
Sn  0.5000  0.5000  0.0000
Ir  0.5000  0.5000  0.5000

## Properties
Theoretical density in g/cm³: 6.29
Energy of formation from the pure elements in eV/f.u.: -0.81
Spin magnetization in μB per atom: 0.00

---

[19]
VASP calculation (PBE) on a geometry-optimized K2SrIr structure.

abc: 5.6116 5.6116 5.6116
angles: 60.00 60.00 60.00
Fractional positions:
K  0.2500  0.2500  0.2500
K  0.7500  0.7500  0.7500
Sr  0.0000  0.0000  0.0000
Ir  0.5000  0.5000  0.5000

## Properties
Theoretical density in g/cm³: 4.76
Energy of formation from the pure elements in eV/f.u.: 2.99
Spin magnetization in μB per atom: 0.00
Excess energy over the best structure of this formula in the dataset in eV/atom: 0.453

---

[20]
VASP calculation (PBE) on a geometry-optimized K2Sr4Ir structure.

abc: 11.6008 11.6008 11.6008
angles: 149.95 149.95 43.01
Fractional positions:
K  0.1664  0.1664  0.0000
K  0.8336  0.8336  0.0000
Sr  0.0000  0.5000  0.5000
Sr  0.3675  0.3675  0.0000
Sr  0.5000  0.0000  0.5000
Sr  0.6325  0.6325  0.0000
Ir  0.5000  0.5000  0.0000

## Properties
Theoretical density in g/cm³: 2.64
Energy of formation from the pure elements in eV/f.u.: -0.09
Spin magnetization in μB per atom: 0.00